# 1
## NaSn6Pd2 (PBE-GGA)

Data for a geometry-optimized NaSn6Pd2 structure.

Symmetry ... P4/mbm (127)
Uncorrected energy ... -4.228 eV per atom
Volume ... 417 Å³ per cell

a = 6.771 Å, b = 6.771 Å, c = 9.100 Å
α = 90.00°, β = 90.00°, γ = 90.00°
Fractional coordinates of all 18 atoms:
Na  0.000  0.000  0.000
Na  0.500  0.500  0.000
Sn  0.158  0.342  0.194
Sn  0.158  0.342  0.806
Sn  0.161  0.661  0.500
Sn  0.339  0.161  0.500
Sn  0.342  0.842  0.194
Sn  0.342  0.842  0.806
Sn  0.658  0.158  0.194
Sn  0.658  0.158  0.806
Sn  0.661  0.839  0.500
Sn  0.839  0.339  0.500
Sn  0.842  0.658  0.194
Sn  0.842  0.658  0.806
Pd  0.000  0.000  0.335
Pd  0.000  0.000  0.665
Pd  0.500  0.500  0.335
Pd  0.500  0.500  0.665

***

# 2
## LaTbBi (PBE-GGA)

Data for a geometry-optimized LaTbBi structure.

Symmetry ... F-43m (216)
Uncorrected energy ... -4.945 eV per atom
Volume ... 106 Å³ per cell
Total magnetization ... 0.02 μB per cell

a = 5.312 Å, b = 5.312 Å, c = 5.312 Å
α = 60.00°, β = 60.00°, γ = 60.00°
Fractional coordinates of all 3 atoms:
La  0.000  0.000  0.000
Tb  0.500  0.500  0.500
Bi  0.250  0.250  0.250

***

# 3
## MgCdB4 (PBE-GGA)

Data for a geometry-optimized MgCdB4 structure.

Symmetry ... P6/mmm (191)
Uncorrected energy ... -4.666 eV per atom
Volume ... 62 Å³ per cell

a = 3.111 Å, b = 3.111 Å, c = 7.375 Å
α = 90.00°, β = 90.00°, γ = 120.00°
Fractional coordinates of all 6 atoms:
Mg  0.000  0.000  0.000
Cd  0.000  0.000  0.500
B  0.333  0.667  0.230
B  0.333  0.667  0.770
B  0.667  0.333  0.230
B  0.667  0.333  0.770

***

# 4
## SmYSn2 (PBE-GGA)

Data for a geometry-optimized SmYSn2 structure.

Symmetry ... Amm2 (38)
Uncorrected energy ... -4.743 eV per atom
Volume ... 130 Å³ per cell
Total magnetization ... 0.04 μB per cell

a = 3.360 Å, b = 6.928 Å, c = 6.928 Å
α = 53.72°, β = 90.00°, γ = 90.00°
Fractional coordinates of all 4 atoms:
Sm  0.000  0.000  0.000
Y  0.000  0.719  0.719
Sn  0.000  0.247  0.247
Sn  0.000  0.475  0.475

***

> The lowest uncorrected energy belongs to which entry?

LaTbBi